*a*
{"formula": "Sb3Pb2", "functional": "PBE-GGA", "state": "relaxed", "cell": [[4.118, 2.377, 5.865], [-4.118, 2.377, 5.865], [0.000, -4.755, 5.865]], "species": ["Sb", "Sb", "Sb", "Sb", "Sb", "Sb", "Pb", "Pb", "Pb", "Pb"], "frac_coords": [[0.034, 0.250, 0.466], [0.250, 0.466, 0.034], [0.466, 0.034, 0.250], [0.534, 0.966, 0.750], [0.750, 0.534, 0.966], [0.966, 0.750, 0.534], [0.101, 0.101, 0.101], [0.399, 0.399, 0.399], [0.601, 0.601, 0.601], [0.899, 0.899, 0.899]], "spacegroup": "R-3c (167)", "magnetic_moment_mub_per_fu": 0.0}



*b*
{"formula": "Sb3Pb2", "functional": "PBE-GGA", "state": "relaxed", "cell": [[4.361, 0.000, 0.000], [-2.181, 3.777, 0.000], [0.000, 0.000, 10.164]], "species": ["Sb", "Sb", "Sb", "Pb", "Pb"], "frac_coords": [[0.000, 0.000, 0.000], [0.333, 0.667, 0.420], [0.667, 0.333, 0.580], [0.333, 0.667, 0.817], [0.667, 0.333, 0.183]], "spacegroup": "P-3m1 (164)", "magnetic_moment_mub_per_fu": 0.0}



Most stable structure: *b*



*a*
{"formula": "Sb2Pb13", "functional": "PBE-GGA", "state": "relaxed", "cell": [[4.411, 2.547, 8.172], [-4.411, 2.547, 8.172], [0.000, -5.093, 8.172]], "species": ["Sb", "Sb", "Pb", "Pb", "Pb", "Pb", "Pb", "Pb", "Pb", "Pb", "Pb", "Pb", "Pb", "Pb", "Pb"], "frac_coords": [[0.134, 0.134, 0.134], [0.866, 0.866, 0.866], [0.000, 0.000, 0.000], [0.106, 0.106, 0.511], [0.106, 0.511, 0.106], [0.252, 0.252, 0.632], [0.252, 0.632, 0.252], [0.368, 0.748, 0.748], [0.489, 0.894, 0.894], [0.511, 0.106, 0.106], [0.632, 0.252, 0.252], [0.748, 0.368, 0.748], [0.748, 0.748, 0.368], [0.894, 0.489, 0.894], [0.894, 0.894, 0.489]], "spacegroup": "R-3m (166)", "magnetic_moment_mub_per_fu": 0.0}



*b*
{"formula": "Sb2Pb13", "functional": "PBE-GGA", "state": "relaxed", "cell": [[6.933, 0.000, 0.000], [1.893, 8.074, 0.000], [1.516, 2.833, 8.401]], "species": ["Sb", "Sb", "Pb", "Pb", "Pb", "Pb", "Pb", "Pb", "Pb", "Pb", "Pb", "Pb", "Pb", "Pb", "Pb"], "frac_coords": [[0.145, 0.279, 0.452], [0.855, 0.721, 0.548], [0.000, 0.500, 0.000], [0.078, 0.905, 0.725], [0.184, 0.685, 0.223], [0.261, 0.099, 0.951], [0.303, 0.496, 0.654], [0.419, 0.897, 0.391], [0.472, 0.304, 0.135], [0.528, 0.696, 0.865], [0.581, 0.103, 0.609], [0.697, 0.504, 0.346], [0.739, 0.901, 0.049], [0.816, 0.315, 0.777], [0.922, 0.095, 0.275]], "spacegroup": "P-1 (2)", "magnetic_moment_mub_per_fu": 0.0}



Most stable structure: *b*



*a*
{"formula": "Sb2Pb3", "functional": "PBE-GGA", "state": "relaxed", "cell": [[2.291, 1.323, 9.315], [-2.291, 1.323, 9.315], [0.000, -2.645, 9.315]], "species": ["Sb", "Sb", "Pb", "Pb", "Pb"], "frac_coords": [[0.099, 0.099, 0.099], [0.901, 0.901, 0.901], [0.290, 0.290, 0.290], [0.500, 0.500, 0.500], [0.710, 0.710, 0.710]], "spacegroup": "R-3m (166)", "magnetic_moment_mub_per_fu": 0.0}



*b*
{"formula": "Sb2Pb3", "functional": "PBE-GGA", "state": "relaxed", "cell": [[4.185, 2.416, 5.713], [-4.185, 2.416, 5.713], [0.000, -4.833, 5.713]], "species": ["Sb", "Sb", "Sb", "Sb", "Pb", "Pb", "Pb", "Pb", "Pb", "Pb"], "frac_coords": [[0.108, 0.108, 0.108], [0.392, 0.392, 0.392], [0.608, 0.608, 0.608], [0.892, 0.892, 0.892], [0.005, 0.750, 0.495], [0.250, 0.505, 0.995], [0.495, 0.005, 0.750], [0.505, 0.995, 0.250], [0.750, 0.495, 0.005], [0.995, 0.250, 0.505]], "spacegroup": "R-3c (167)", "magnetic_moment_mub_per_fu": 0.0}



Most stable structure: *a*



*a*
{"formula": "ScSbPb3", "functional": "PBE-GGA", "state": "relaxed", "cell": [[5.811, 0.000, 0.000], [0.000, 5.811, 0.000], [0.000, 0.000, 5.811]], "species": ["Sc", "Sb", "Pb", "Pb", "Pb"], "frac_coords": [[0.000, 0.000, 0.000], [0.500, 0.500, 0.500], [0.000, 0.500, 0.500], [0.500, 0.000, 0.500], [0.500, 0.500, 0.000]], "spacegroup": "Pm-3m (221)", "magnetic_moment_mub_per_fu": 0.0}



*b*
{"formula": "ScSbPb3", "functional": "PBE-GGA", "state": "relaxed", "cell": [[5.612, 0.000, 0.000], [0.000, 5.612, 0.000], [0.000, 0.000, 5.612]], "species": ["Sc", "Sb", "Pb", "Pb", "Pb"], "frac_coords": [[0.000, 0.000, 0.000], [0.500, 0.500, 0.500], [0.000, 0.000, 0.500], [0.000, 0.500, 0.000], [0.500, 0.000, 0.000]], "spacegroup": "Pm-3m (221)", "magnetic_moment_mub_per_fu": 0.0}



Most stable structure: *b*



*a*
{"formula": "Sc4Sb2Pb", "functional": "PBE-GGA", "state": "relaxed", "cell": [[-2.629, 2.629, 7.598], [2.629, -2.629, 7.598], [2.629, 2.629, -7.598]], "species": ["Sc", "Sc", "Sc", "Sc", "Sb", "Sb", "Pb"], "frac_coords": [[0.000, 0.500, 0.500], [0.184, 0.184, 0.000], [0.500, 0.000, 0.500], [0.816, 0.816, 0.000], [0.370, 0.370, 0.000], [0.630, 0.630, 0.000], [0.000, 0.000, 0.000]], "spacegroup": "I4/mmm (139)", "magnetic_moment_mub_per_fu": 0.0}



*b*
{"formula": "Sc4Sb2Pb", "functional": "PBE-GGA", "state": "relaxed", "cell": [[0.000, 6.485, 6.495], [4.485, 0.000, 6.495], [4.485, 6.485, 0.000]], "species": ["Sc", "Sc", "Sc", "Sc", "Sc", "Sc", "Sc", "Sc", "Sb", "Sb", "Sb", "Sb", "Pb", "Pb"], "frac_coords": [[0.123, 0.311, 0.311], [0.246, 0.689, 0.689], [0.311, 0.123, 0.754], [0.311, 0.754, 0.123], [0.689, 0.246, 0.877], [0.689, 0.877, 0.246], [0.754, 0.311, 0.311], [0.877, 0.689, 0.689], [0.000, 0.000, 0.000], [0.000, 0.000, 0.500], [0.000, 0.500, 0.000], [0.500, 0.000, 0.000], [0.375, 0.375, 0.375], [0.625, 0.625, 0.625]], "spacegroup": "Fddd (70)", "magnetic_moment_mub_per_fu": 0.0}



Most stable structure: *b*



*a*
{"formula": "Sb2PbSe2", "functional": "PBE-GGA", "state": "relaxed", "cell": [[8.671, 0.000, 0.000], [0.000, 8.671, 0.000], [0.000, 0.000, 3.761]], "species": ["Sb", "Sb", "Sb", "Sb", "Pb", "Pb", "Se", "Se", "Se", "Se"], "frac_coords": [[0.194, 0.306, 0.000], [0.306, 0.806, 0.000], [0.694, 0.194, 0.000], [0.806, 0.694, 0.000], [0.000, 0.000, 0.500], [0.500, 0.500, 0.500], [0.145, 0.645, 0.500], [0.355, 0.145, 0.500], [0.645, 0.855, 0.500], [0.855, 0.355, 0.500]], "spacegroup": "P4/mbm (127)", "magnetic_moment_mub_per_fu": 0.0}



*b*
{"formula": "Sb2PbSe2", "functional": "PBE-GGA", "state": "relaxed", "cell": [[-2.083, 2.083, 8.226], [2.083, -2.083, 8.226], [2.083, 2.083, -8.226]], "species": ["Sb", "Sb", "Pb", "Se", "Se"], "frac_coords": [[0.250, 0.750, 0.500], [0.750, 0.250, 0.500], [0.000, 0.000, 0.000], [0.408, 0.408, 0.000], [0.592, 0.592, 0.000]], "spacegroup": "I4/mmm (139)", "magnetic_moment_mub_per_fu": 0.0}



Most stable structure: *a*



*a*
{"formula": "Sb2Pb2Se", "functional": "PBE-GGA", "state": "relaxed", "cell": [[8.280, 0.000, 0.000], [0.000, 8.280, 0.000], [0.000, 0.000, 4.857]], "species": ["Sb", "Sb", "Sb", "Sb", "Pb", "Pb", "Pb", "Pb", "Se", "Se"], "frac_coords": [[0.118, 0.382, 0.000], [0.382, 0.882, 0.000], [0.618, 0.118, 0.000], [0.882, 0.618, 0.000], [0.200, 0.700, 0.500], [0.300, 0.200, 0.500], [0.700, 0.800, 0.500], [0.800, 0.300, 0.500], [0.000, 0.000, 0.500], [0.500, 0.500, 0.500]], "spacegroup": "P4/mbm (127)", "magnetic_moment_mub_per_fu": 0.0}



*b*
{"formula": "Sb2Pb2Se", "functional": "PBE-GGA", "state": "relaxed", "cell": [[-2.129, 2.129, 8.526], [2.129, -2.129, 8.526], [2.129, 2.129, -8.526]], "species": ["Sb", "Sb", "Pb", "Pb", "Se"], "frac_coords": [[0.250, 0.750, 0.500], [0.750, 0.250, 0.500], [0.095, 0.095, 0.000], [0.905, 0.905, 0.000], [0.500, 0.500, 0.000]], "spacegroup": "I4/mmm (139)", "magnetic_moment_mub_per_fu": 0.0}



*c*
{"formula": "Sb2Pb2Se", "functional": "PBE-GGA", "state": "relaxed", "cell": [[8.135, 0.000, 0.000], [0.000, 8.135, 0.000], [0.000, 0.000, 4.614]], "species": ["Sb", "Sb", "Sb", "Sb", "Pb", "Pb", "Pb", "Pb", "Se", "Se"], "frac_coords": [[0.174, 0.326, 0.000], [0.326, 0.826, 0.000], [0.674, 0.174, 0.000], [0.826, 0.674, 0.000], [0.143, 0.643, 0.500], [0.357, 0.143, 0.500], [0.643, 0.857, 0.500], [0.857, 0.357, 0.500], [0.000, 0.000, 0.000], [0.500, 0.500, 0.000]], "spacegroup": "P4/mbm (127)", "magnetic_moment_mub_per_fu": 0.0}



Most stable structure: *b*



*a*
{"formula": "SbPb3Se", "functional": "PBE-GGA", "state": "relaxed", "cell": [[7.279, 0.000, 0.000], [0.000, 4.398, 0.000], [-2.116, 0.000, 10.104]], "species": ["Sb", "Sb", "Pb", "Pb", "Pb", "Pb", "Pb", "Pb", "Se", "Se"], "frac_coords": [[0.147, 0.250, 0.190], [0.853, 0.750, 0.810], [0.047, 0.750, 0.374], [0.261, 0.750, 0.996], [0.462, 0.750, 0.632], [0.538, 0.250, 0.368], [0.739, 0.250, 0.004], [0.953, 0.250, 0.626], [0.344, 0.250, 0.790], [0.656, 0.750, 0.210]], "spacegroup": "P2_1/m (11)", "magnetic_moment_mub_per_fu": 0.0}



*b*
{"formula": "SbPb3Se", "functional": "PBE-GGA", "state": "relaxed", "cell": [[5.903, 0.000, 0.000], [0.000, 5.903, 0.000], [0.000, 0.000, 5.903]], "species": ["Sb", "Pb", "Pb", "Pb", "Se"], "frac_coords": [[0.000, 0.000, 0.000], [0.000, 0.000, 0.500], [0.000, 0.500, 0.000], [0.500, 0.000, 0.000], [0.500, 0.500, 0.500]], "spacegroup": "Pm-3m (221)", "magnetic_moment_mub_per_fu": 0.0}



*c*
{"formula": "SbPb3Se", "functional": "PBE-GGA", "state": "relaxed", "cell": [[5.680, 0.000, 0.000], [0.000, 5.680, 0.000], [0.000, 0.000, 5.680]], "species": ["Sb", "Pb", "Pb", "Pb", "Se"], "frac_coords": [[0.000, 0.000, 0.000], [0.000, 0.500, 0.500], [0.500, 0.000, 0.500], [0.500, 0.500, 0.000], [0.500, 0.500, 0.500]], "spacegroup": "Pm-3m (221)", "magnetic_moment_mub_per_fu": 0.0}



Most stable structure: *a*